GGA+U In2CoSnF, optimized geometry; magnetic moment = 2.0 μB/f.u.; crystal system = tetragonal; calculated total energy = -3.491 eV/atom
1.0
5.181 0.000 0.000
0.000 4.153 0.000
0.000 0.000 5.181
Co In F Sn
1 2 1 1
Direct
0.000 0.500 0.000 Co
0.500 0.000 0.000 In
0.000 0.000 0.500 In
0.000 0.000 0.000 F
0.500 0.500 0.500 Sn